Density functional theory data (PBE with a Hubbard U) for an optimized crystal structure of NpSnMoO6.

```
18
Lattice="-0.460 -0.688 5.380 -3.179 -2.837 -3.388 6.317 -6.701 -0.317" Properties=species:S:1:pos:R:3 pbc="T T T"
Np 0.213 -3.079 2.378
Np 2.466 -7.146 -0.703
Sn 0.000 0.000 0.000
Sn 3.159 -3.351 -0.158
Mo -0.693 -3.796 -0.545
Mo 3.372 -6.430 2.220
O -1.648 -3.225 1.290
O -0.242 -1.785 -1.141
O 3.803 -4.434 1.561
O 2.921 -8.441 2.816
O 1.162 -3.655 0.524
O 0.213 -4.412 -2.389
O 5.197 -6.319 3.341
O -1.125 -5.791 0.115
O 2.466 -5.814 4.064
O -2.519 -3.906 -1.666
O 1.517 -6.571 1.151
O 4.327 -7.000 0.386
```

Computed properties:
space group: P-31c, No. 163
DOS(E_F): 13.860 states/eV/cell
total DFT energy (no corrections): -144.4 eV/cell
magnetic moment: 5.0 μB/f.u.